An optimized crystal structure of MgW2O4, computed with PBE+U.

- uncorrected energy (eV per atom) = -6.889
- M_tot (μB per cell) = 12.00
- E above lowest polymorph (kJ/mol of formula units) = 81

```
data_MgW2O4
_cell_length_a 5.482
_cell_length_b 5.482
_cell_length_c 10.306
_cell_angle_alpha 90.00
_cell_angle_beta 90.00
_cell_angle_gamma 146.69
_space_group_name_H-M_alt 'P 1'
_space_group_IT_number 1
_space_group_name_Hall 'P 1'
loop_
_atom_site_label
_atom_site_fract_x
_atom_site_fract_y
_atom_site_fract_z
_atom_site_occupancy
W1 0.132 0.868 0.074 1
O1 0.982 0.018 0.750 1
O2 0.500 0.500 0.500 1
W2 0.132 0.868 0.426 1
O3 0.018 0.982 0.250 1
O4 0.230 0.770 0.885 1
Mg1 0.389 0.611 0.250 1
O5 0.230 0.770 0.615 1
O6 0.770 0.230 0.115 1
O7 0.770 0.230 0.385 1
O8 0.500 0.500 0.000 1
W3 0.868 0.132 0.926 1
Mg2 0.611 0.389 0.750 1
W4 0.868 0.132 0.574 1
```